# 1
Entry from Alexandria via LeMat-Bulk: crystalline CoAg2Ru at its relaxed geometry (PBE).

The total magnetization is 3.56 μB/f.u. Its energy above the most stable polymorph in this dataset is 0.244 eV per atom. Its density of states at the Fermi level is 0.67 states/eV per atom. The calculation puts the formation energy at 0.565 eV per atom. The electronic total energy comes out at -4.956 eV per atom. For the calculated volume, the calculation gives 15.4 A^3/atom.

It has space group P4/mmm (No. 123), with a = 3.771 Å, b = 3.771 Å, c = 4.331 Å, α = 90.00°, β = 90.00° and γ = 90.00°. The asymmetric unit holds Co at (0.000, 0.000, 0.000), Ag at (0.000, 0.500, 0.500) and Ru at (0.500, 0.500, 0.000).

***

# 2
Entry from Alexandria via LeMat-Bulk: crystalline SbTe3 at its relaxed geometry (PBE).

The total magnetization is 0.00 μB/f.u. Its energy above the most stable polymorph in this dataset is 0.021 eV per atom. Its density of states at the Fermi level is 0.61 states/eV per atom. The electronic total energy comes out at -3.357 eV per atom. For the calculated volume, the calculation gives 35.5 A^3/atom.

It has space group Pnma (No. 62), with a = 7.395 Å, b = 8.375 Å, c = 9.159 Å, α = 90.00°, β = 90.00° and γ = 90.00°. The asymmetric unit holds Sb at (0.067, 0.250, 0.036), Te at (0.211, 0.250, 0.603) and Te at (0.245, 0.006, 0.852).

***

# 3
Entry from Alexandria via LeMat-Bulk: crystalline GeAs2SeCl at its relaxed geometry (PBE).

The total magnetization is 0.00 μB/f.u. Its energy above the most stable polymorph in this dataset is 0.000 eV per atom. Its density of states at the Fermi level is 0.87 states/eV per atom. The electronic total energy comes out at -3.185 eV per atom. For the calculated volume, the calculation gives 25.1 A^3/atom.

It has space group P4/mmm (No. 123), with a = 5.049 Å, b = 5.049 Å, c = 4.929 Å, α = 90.00°, β = 90.00° and γ = 90.00°. The asymmetric unit holds Ge at (0.000, 0.000, 0.000), As at (0.000, 0.500, 0.000), Se at (0.000, 0.000, 0.500) and Cl at (0.500, 0.500, 0.500).

***

# 4
Entry from Alexandria via LeMat-Bulk: crystalline OsBrCl2 at its relaxed geometry (PBE).

The total magnetization is 0.00 μB/f.u. Its energy above the most stable polymorph in this dataset is 0.354 eV per atom. Its density of states at the Fermi level is 0.70 states/eV per atom. The electronic total energy comes out at -3.885 eV per atom. For the calculated volume, the calculation gives 23.6 A^3/atom.

It has space group R-3m (No. 166, hexagonal axes), with a = 2.9659 Å, b = 2.9659 Å, c = 37.1264 Å, α = 90.00°, β = 90.00° and γ = 120.00°. The asymmetric unit holds Os at (0.0000, 0.0000, 0.0000), Br at (0.0000, 0.0000, 0.5000) and Cl at (0.0000, 0.0000, 0.0594).